No. 1
GdTm2Te3: relaxed, PBE-GGA.

a = 4.3196 Å, b = 4.3196 Å, c = 10.6368 Å
α = 90.00°, β = 90.00°, γ = 120.00°
Last column: nearest neighbours and their distance in Å.
Space group P-3m1 (No. 164)
Asymmetric unit:
Gd1 0.0000 0.0000 0.0000  6 Te 3.11
Tm1 0.3333 0.6667 0.6642  6 Te 3.03-3.05
Te1 0.0000 0.0000 0.5000  6 Tm 3.05
Te2 0.3333 0.6667 0.1741  3 Tm 3.03, 3 Gd 3.11

## Properties
E = -30.38 eV per cell

No. 2
RbTe4PdAu3: relaxed, PBE-GGA.

a = 6.8037 Å, b = 6.8037 Å, c = 6.8037 Å
α = 90.00°, β = 90.00°, γ = 90.00°
Last column: nearest neighbours and their distance in Å.
Space group P-43m (No. 215)
Asymmetric unit:
Rb1 0.0000 0.0000 0.0000  4 Te 3.30
Te1 0.2804 0.2804 0.2804  1 Pd 2.59, 3 Au 2.85
Pd1 0.5000 0.5000 0.5000  4 Te 2.59
Au1 0.0000 0.5000 0.5000  4 Te 2.85

## Properties
E = -29.29 eV per cell